Record 1
BeReTc2: optimized geometry, PBE.

a = 2.7590 Å, b = 3.8178 Å, c = 5.1451 Å
α = 90.00°, β = 90.13°, γ = 90.00°
Space group P2/m (No. 10)
One atom of each set of equivalent atoms:
Be  0.0000  0.0000  0.0000
Re  0.0000  0.0000  0.5000
Tc  0.4937  0.5000  0.2304

The calculation puts the formation energy at 0.2 eV per formula unit. For the total energy, the calculation gives -9.1823 eV per atom.

---

Record 2
PuInBiAu: optimized geometry, PBE.

a = 7.4392 Å, b = 7.4392 Å, c = 7.4392 Å
α = 90.00°, β = 90.00°, γ = 90.00°
Space group F-43m (No. 216)
One atom of each set of equivalent atoms:
Pu  0.0000  0.0000  0.0000
In  0.0000  0.0000  0.5000
Bi  0.2500  0.2500  0.7500
Au  0.2500  0.2500  0.2500

The calculation puts the formation energy at -0.8 eV per formula unit. For the total energy, the calculation gives -6.2659 eV per atom. As for the energy relative to the lowest polymorph listed for this composition: 86 meV/atom.

---

Record 3
RbGaSn: optimized geometry, PBE.

a = 4.7702 Å, b = 6.7380 Å, c = 6.7561 Å
α = 80.69°, β = 75.20°, γ = 81.08°
Space group P-1 (No. 2)
One atom of each set of equivalent atoms:
Rb  0.2465  0.4638  0.2477
Ga  0.2545  0.9084  0.5177
Sn  0.2890  0.0847  0.8702

The calculation puts the formation energy at -0.2 eV per formula unit. For the total energy, the calculation gives -2.7274 eV per atom.

---

Record 4
LaPrDy3Er: optimized geometry, PBE.

a = 5.9272 Å, b = 11.3718 Å, c = 11.8501 Å
α = 90.00°, β = 90.00°, γ = 90.00°
Space group Cmcm (No. 63)
One atom of each set of equivalent atoms:
La  0.0000  0.0024  0.2500
Pr  0.0000  0.5000  0.0000
Dy  0.0000  0.1752  0.5019
Dy  0.0000  0.3257  0.2500
Er  0.0000  0.3282  0.7500

The calculation puts the formation energy at 0.7 eV per formula unit. For the total energy, the calculation gives -4.5706 eV per atom.

---

Record 5
Na2MgCl4: optimized geometry, PBE.

a = 13.6221 Å, b = 3.8695 Å, c = 7.1294 Å
α = 90.00°, β = 118.30°, γ = 90.00°
Space group C2/m (No. 12)
One atom of each set of equivalent atoms:
Na  0.2032  0.0000  0.1870
Mg  0.0000  0.5000  0.5000
Cl  0.1077  0.5000  0.8880
Cl  0.1281  0.0000  0.4935

As for the formation energy (no corrections): -1.789 eV per atom. For the total energy, the calculation gives -3.4490 eV per atom. As for the energy relative to the lowest polymorph listed for this composition: 31 meV/atom.

---

Record 6
Tm3Ga2Rh: optimized geometry, PBE.

a = 11.6574 Å, b = 4.2818 Å, c = 10.8733 Å
α = 90.00°, β = 90.00°, γ = 90.00°
Space group Pnma (No. 62)
One atom of each set of equivalent atoms:
Tm  0.0487  0.2500  0.1240
Tm  0.1181  0.7500  0.5606
Tm  0.2290  0.2500  0.8037
Ga  0.0083  0.7500  0.3025
Ga  0.1914  0.7500  0.0095
Rh  0.1218  0.2500  0.3789

The calculation puts the formation energy at -4.1 eV per formula unit. For the total energy, the calculation gives -5.1549 eV per atom.

---

Record 7
CaInAgHg: optimized geometry, PBE.

a = 7.2251 Å, b = 7.2251 Å, c = 7.2251 Å
α = 90.00°, β = 90.00°, γ = 90.00°
Space group F-43m (No. 216)
One atom of each set of equivalent atoms:
Ca  0.0000  0.0000  0.0000
In  0.0000  0.0000  0.5000
Ag  0.2500  0.2500  0.2500
Hg  0.2500  0.2500  0.7500

The calculation puts the formation energy at -1.3 eV per formula unit. For the total energy, the calculation gives -2.3026 eV per atom.

---

Record 8
Dy2Y8Al: optimized geometry, PBE.

a = 19.2264 Å, b = 5.4962 Å, c = 6.4433 Å
α = 90.00°, β = 94.03°, γ = 90.00°
Space group C2/m (No. 12)
One atom of each set of equivalent atoms:
Dy  0.2415  0.0000  0.3354
Y  0.0428  0.0000  0.2526
Y  0.0777  0.5000  0.6042
Y  0.1554  0.0000  0.8107
Y  0.1577  0.5000  0.1239
Al  0.0000  0.5000  0.0000

The calculation puts the formation energy at -0.5 eV per formula unit. For the total energy, the calculation gives -5.9244 eV per atom.

---

Record 9
InTeH2: optimized geometry, PBE.

a = 3.1568 Å, b = 17.1139 Å, c = 5.8496 Å
α = 90.00°, β = 90.00°, γ = 90.00°
Space group Cmcm (No. 63)
One atom of each set of equivalent atoms:
In  0.0000  0.2169  0.2500
Te  0.0000  0.4421  0.7500
H  0.0000  0.1146  0.6852

For the total energy, the calculation gives -3.0769 eV per atom. As for the energy relative to the lowest polymorph listed for this composition: 0 meV/atom.

---

Record 10
NdGeC: optimized geometry, PBE.

a = 3.8191 Å, b = 3.8191 Å, c = 20.8683 Å
α = 90.00°, β = 90.00°, γ = 90.00°
Space group I4/mmm (No. 139)
One atom of each set of equivalent atoms:
Nd  0.0000  0.0000  0.1886
Ge  0.0000  0.0000  0.3994
C  0.0000  0.0000  0.3084

The calculation puts the formation energy at 0.1 eV per formula unit. For the total energy, the calculation gives -6.1632 eV per atom.

---

Record 11
ScSiHg2: optimized geometry, PBE.

a = 5.7266 Å, b = 8.4942 Å, c = 3.4737 Å
α = 90.00°, β = 90.00°, γ = 90.00°
Space group Cmmm (No. 65)
One atom of each set of equivalent atoms:
Sc  0.0000  0.0000  0.0000
Si  0.0000  0.5000  0.0000
Hg  0.2500  0.2500  0.5000

As for the formation energy (no corrections): -0.013 eV per atom. For the total energy, the calculation gives -3.1021 eV per atom.

---

Record 12
Pr3Dy4Er: optimized geometry, PBE.

a = 3.4984 Å, b = 11.7487 Å, c = 13.0698 Å
α = 90.00°, β = 90.00°, γ = 90.00°
Space group Immm (No. 71)
One atom of each set of equivalent atoms:
Pr  0.0000  0.0000  0.0000
Pr  0.0000  0.5000  0.2427
Dy  0.0000  0.2450  0.3656
Er  0.0000  0.0000  0.5000

The calculation puts the formation energy at 1.0 eV per formula unit. For the total energy, the calculation gives -4.5348 eV per atom. As for the energy relative to the lowest polymorph listed for this composition: 126 meV/atom.